# 1
First-principles (PBE) data for a relaxed structure of DyScCl6, as listed in Alexandria. Values from VASP.

Cell and atoms, written as Quantum ESPRESSO input:
```
&SYSTEM
  ibrav = 0, nat = 8, ntyp = 3
/
ATOMIC_SPECIES
Dy 162.50 Dy.upf
Sc 44.96 Sc.upf
Cl 35.45 Cl.upf
CELL_PARAMETERS angstrom
3.284 1.896 5.920
-3.284 1.896 5.920
0.000 -3.792 5.920
ATOMIC_POSITIONS crystal
Dy 0.000 0.000 0.000
Sc 0.500 0.500 0.500
Cl 0.115 0.402 0.740
Cl 0.260 0.885 0.598
Cl 0.402 0.740 0.115
Cl 0.598 0.260 0.885
Cl 0.740 0.115 0.402
Cl 0.885 0.598 0.260
```

E above lowest polymorph: 0.0142 eV/atom
E_form (uncorrected): -2.15 eV per atom

=====

# 2
First-principles (PBE) data for a relaxed structure of TcC3N, as listed in Alexandria. Values from VASP.

Cell and atoms, written as Quantum ESPRESSO input:
```
&SYSTEM
  ibrav = 0, nat = 5, ntyp = 3
/
ATOMIC_SPECIES
Tc 98.00 Tc.upf
C 12.01 C.upf
N 14.01 N.upf
CELL_PARAMETERS angstrom
3.428 0.000 0.000
0.000 3.428 0.000
0.000 0.000 3.428
ATOMIC_POSITIONS crystal
Tc 0.000 0.000 0.000
C 0.000 0.500 0.500
C 0.500 0.000 0.500
C 0.500 0.500 0.000
N 0.500 0.500 0.500
```

E above lowest polymorph: 0.0263 eV/atom
E_form (uncorrected): 2.90 eV per atom

=====

# 3
First-principles (PBE) data for a relaxed structure of ReHg2As, as listed in Alexandria. Values from VASP.

Cell and atoms, written as Quantum ESPRESSO input:
```
&SYSTEM
  ibrav = 0, nat = 8, ntyp = 3
/
ATOMIC_SPECIES
Re 186.21 Re.upf
Hg 200.59 Hg.upf
As 74.92 As.upf
CELL_PARAMETERS angstrom
2.973 0.000 0.000
0.000 4.879 0.000
0.000 0.000 12.486
ATOMIC_POSITIONS crystal
Re 0.000 0.000 0.000
Re 0.500 0.500 0.500
Hg 0.000 0.000 0.478
Hg 0.000 0.500 0.298
Hg 0.500 0.000 0.798
Hg 0.500 0.500 0.978
As 0.000 0.500 0.654
As 0.500 0.000 0.154
```

energy of formation: 0.43 eV/atom

=====

# 4
First-principles (PBE) data for a relaxed structure of SrTaAl2, as listed in Alexandria. Values from VASP.

Cell and atoms, written as Quantum ESPRESSO input:
```
&SYSTEM
  ibrav = 0, nat = 8, ntyp = 3
/
ATOMIC_SPECIES
Sr 87.62 Sr.upf
Ta 180.95 Ta.upf
Al 26.98 Al.upf
CELL_PARAMETERS angstrom
4.491 0.000 0.000
0.000 4.514 0.000
0.000 0.000 8.518
ATOMIC_POSITIONS crystal
Sr 0.000 0.000 0.000
Sr 0.500 0.500 0.000
Ta 0.000 0.500 0.672
Ta 0.500 0.000 0.672
Al 0.000 0.000 0.477
Al 0.000 0.500 0.290
Al 0.500 0.000 0.290
Al 0.500 0.500 0.477
```

energy of formation: 0.27 eV/atom
E above lowest polymorph: 0.2693 eV/atom

=====

# 5
First-principles (PBE) data for a relaxed structure of Ce3Th3Ge4, as listed in Alexandria. Values from VASP.

Cell and atoms, written as Quantum ESPRESSO input:
```
&SYSTEM
  ibrav = 0, nat = 10, ntyp = 3
/
ATOMIC_SPECIES
Ce 140.12 Ce.upf
Th 232.04 Th.upf
Ge 72.64 Ge.upf
CELL_PARAMETERS angstrom
4.163 0.000 0.000
0.000 5.585 5.583
0.000 -5.585 5.583
ATOMIC_POSITIONS crystal
Ce 0.000 0.000 0.000
Ce 0.500 0.319 0.824
Ce 0.500 0.824 0.319
Th 0.000 0.145 0.499
Th 0.000 0.499 0.145
Th 0.000 0.645 0.645
Ge 0.500 0.199 0.199
Ge 0.500 0.444 0.444
Ge 0.500 0.702 0.944
Ge 0.500 0.944 0.702
```

energy of formation: -0.66 eV/atom

=====

# 6
First-principles (PBE) data for a relaxed structure of MgGe2PbO6, as listed in Alexandria. Values from VASP.

Cell and atoms, written as Quantum ESPRESSO input:
```
&SYSTEM
  ibrav = 0, nat = 20, ntyp = 4
/
ATOMIC_SPECIES
Mg 24.30 Mg.upf
Ge 72.64 Ge.upf
Pb 207.20 Pb.upf
O 16.00 O.upf
CELL_PARAMETERS angstrom
5.280 -5.287 0.000
5.280 5.287 0.000
-1.867 0.000 5.490
ATOMIC_POSITIONS crystal
Mg 0.237 0.763 0.750
Mg 0.763 0.237 0.250
Ge 0.219 0.385 0.294
Ge 0.385 0.219 0.794
Ge 0.615 0.781 0.206
Ge 0.781 0.615 0.706
Pb 0.118 0.882 0.250
Pb 0.882 0.118 0.750
O 0.019 0.237 0.196
O 0.184 0.614 0.417
O 0.237 0.019 0.696
O 0.305 0.381 0.026
O 0.381 0.305 0.526
O 0.386 0.816 0.083
O 0.614 0.184 0.917
O 0.619 0.695 0.474
O 0.695 0.619 0.974
O 0.763 0.981 0.304
O 0.816 0.386 0.583
O 0.981 0.763 0.804
```

E_form (uncorrected): -1.74 eV per atom